Record 1
{"formula": "DyCdPb2", "functional": "PBE", "state": "relaxed", "total_magnetization_mub_per_fu": 0.00, "sg": "P4/mmm", "formation_enthalpy_0k_ev_per_atom": -0.305, "cell": [[4.881, 0.000, 0.000], [0.000, 4.881, 0.000], [0.000, 0.000, 4.512]], "species": ["Dy", "Cd", "Pb", "Pb"], "frac_coords": [[0.000, 0.000, 0.000], [0.500, 0.500, 0.000], [0.000, 0.500, 0.500], [0.500, 0.000, 0.500]]}

---

Record 2
{"formula": "YAl3Cu", "functional": "PBE", "state": "relaxed", "total_magnetization_mub_per_fu": 0.00, "sg": "I4mm", "formation_enthalpy_0k_ev_per_atom": -0.449, "cell": [[-2.069, 2.069, 5.363], [2.069, -2.069, 5.363], [2.069, 2.069, -5.363]], "species": ["Y", "Al", "Al", "Al", "Cu"], "frac_coords": [[0.000, 0.000, 0.000], [0.247, 0.747, 0.500], [0.405, 0.405, 0.000], [0.747, 0.247, 0.500], [0.624, 0.624, 0.000]]}

---

Record 3
{"formula": "Li2GeAu3", "functional": "PBE", "state": "relaxed", "total_magnetization_mub_per_fu": 0.00, "sg": "Pmm2", "formation_enthalpy_0k_ev_per_atom": -0.343, "cell": [[2.874, 0.000, 0.000], [0.000, 4.534, 0.000], [0.000, 0.000, 8.065]], "species": ["Li", "Li", "Ge", "Au", "Au", "Au"], "frac_coords": [[0.000, 0.000, 0.000], [0.000, 0.500, 0.467], [0.500, 0.500, 0.812], [0.500, 0.000, 0.327], [0.500, 0.000, 0.670], [0.500, 0.500, 0.127]]}

---

Record 4
{"formula": "TiH2Au", "functional": "PBE", "state": "relaxed", "total_magnetization_mub_per_fu": 0.00, "sg": "R3m", "e_tot_ev_per_fu": -18.70, "cell": [[1.528, 0.882, 5.191], [-1.528, 0.882, 5.191], [0.000, -1.765, 5.191]], "species": ["Ti", "H", "H", "Au"], "frac_coords": [[0.000, 0.000, 0.000], [0.349, 0.349, 0.349], [0.618, 0.618, 0.618], [0.814, 0.814, 0.814]]}

---

Record 5
{"formula": "Cs3SrSb2O6", "functional": "PBE", "state": "relaxed", "total_magnetization_mub_per_fu": 1.05, "e_form_raw_mev_per_atom": -1691, "sg": "P-3m1", "cell": [[6.601, 0.000, 0.000], [-3.301, 5.717, 0.000], [0.000, 0.000, 7.982]], "species": ["Cs", "Cs", "Cs", "Sr", "Sb", "Sb", "O", "O", "O", "O", "O", "O"], "frac_coords": [[0.000, 0.000, 0.000], [0.333, 0.667, 0.664], [0.667, 0.333, 0.336], [0.000, 0.000, 0.500], [0.333, 0.667, 0.209], [0.667, 0.333, 0.791], [0.179, 0.358, 0.311], [0.179, 0.821, 0.311], [0.358, 0.179, 0.689], [0.642, 0.821, 0.311], [0.821, 0.179, 0.689], [0.821, 0.642, 0.689]]}

---

Record 6
{"formula": "NiBi6PtAu2", "functional": "PBE", "state": "relaxed", "total_magnetization_mub_per_fu": 0.00, "sg": "P2_1/c", "formation_enthalpy_0k_ev_per_atom": -0.054, "cell": [[7.487, 0.000, 0.000], [0.000, 6.869, 0.000], [-6.947, 0.000, 9.990]], "species": ["Ni", "Ni", "Bi", "Bi", "Bi", "Bi", "Bi", "Bi", "Bi", "Bi", "Bi", "Bi", "Bi", "Bi", "Pt", "Pt", "Au", "Au", "Au", "Au"], "frac_coords": [[0.000, 0.000, 0.000], [0.000, 0.500, 0.500], [0.103, 0.172, 0.425], [0.103, 0.328, 0.925], [0.259, 0.644, 0.418], [0.259, 0.856, 0.918], [0.416, 0.520, 0.742], [0.416, 0.980, 0.242], [0.584, 0.020, 0.758], [0.584, 0.480, 0.258], [0.741, 0.144, 0.082], [0.741, 0.356, 0.582], [0.897, 0.672, 0.075], [0.897, 0.828, 0.575], [0.500, 0.000, 0.500], [0.500, 0.500, 0.000], [0.167, 0.170, 0.709], [0.167, 0.330, 0.209], [0.833, 0.670, 0.791], [0.833, 0.830, 0.291]]}

---

Record 7
{"formula": "HgH6Pd6", "functional": "PBE", "state": "relaxed", "total_magnetization_mub_per_fu": 0.00, "sg": "P6/mmm", "e_tot_ev_per_fu": -48.84, "cell": [[4.730, 0.000, 0.000], [-2.365, 4.096, 0.000], [0.000, 0.000, 7.885]], "species": ["Hg", "H", "H", "H", "H", "H", "H", "Pd", "Pd", "Pd", "Pd", "Pd", "Pd"], "frac_coords": [[0.000, 0.000, 0.000], [0.000, 0.500, 0.350], [0.000, 0.500, 0.650], [0.500, 0.000, 0.350], [0.500, 0.000, 0.650], [0.500, 0.500, 0.350], [0.500, 0.500, 0.650], [0.000, 0.000, 0.334], [0.000, 0.000, 0.666], [0.333, 0.667, 0.000], [0.333, 0.667, 0.500], [0.667, 0.333, 0.000], [0.667, 0.333, 0.500]]}

---

Record 8
{"formula": "NaHg2Au2", "functional": "PBE", "state": "relaxed", "total_magnetization_mub_per_fu": 0.00, "sg": "P-1", "formation_enthalpy_0k_ev_per_atom": -0.173, "cell": [[4.647, 0.000, 0.000], [2.307, 5.264, 0.000], [2.264, -0.396, 9.289]], "species": ["Na", "Na", "Hg", "Hg", "Hg", "Hg", "Au", "Au", "Au", "Au"], "frac_coords": [[0.043, 0.125, 0.290], [0.957, 0.875, 0.710], [0.340, 0.268, 0.550], [0.363, 0.804, 0.961], [0.637, 0.196, 0.039], [0.660, 0.732, 0.450], [0.154, 0.332, 0.868], [0.335, 0.539, 0.289], [0.665, 0.461, 0.711], [0.846, 0.668, 0.132]]}

---

Record 9
{"formula": "LiNb2S4", "functional": "PBE", "state": "relaxed", "total_magnetization_mub_per_fu": 0.00, "e_form_raw_mev_per_atom": -1042, "sg": "F-43m", "cell": [[0.000, 5.136, 5.136], [5.136, 0.000, 5.136], [5.136, 5.136, 0.000]], "species": ["Li", "Li", "Nb", "Nb", "Nb", "Nb", "S", "S", "S", "S", "S", "S", "S", "S"], "frac_coords": [[0.000, 0.000, 0.000], [0.250, 0.250, 0.250], [0.082, 0.639, 0.639], [0.639, 0.082, 0.639], [0.639, 0.639, 0.082], [0.639, 0.639, 0.639], [0.373, 0.876, 0.876], [0.386, 0.386, 0.386], [0.386, 0.386, 0.841], [0.386, 0.841, 0.386], [0.841, 0.386, 0.386], [0.876, 0.373, 0.876], [0.876, 0.876, 0.373], [0.876, 0.876, 0.876]]}

---

Record 10
{"formula": "Sc2Al2Bi", "functional": "PBE", "state": "relaxed", "total_magnetization_mub_per_fu": 0.31, "sg": "I4/mmm", "formation_enthalpy_0k_ev_per_atom": -0.209, "cell": [[-1.890, 1.890, 8.157], [1.890, -1.890, 8.157], [1.890, 1.890, -8.157]], "species": ["Sc", "Sc", "Al", "Al", "Bi"], "frac_coords": [[0.105, 0.105, 0.000], [0.895, 0.895, 0.000], [0.250, 0.750, 0.500], [0.750, 0.250, 0.500], [0.500, 0.500, 0.000]]}

---

Record 11
{"formula": "Pr8Tl3Te2", "functional": "PBE", "state": "relaxed", "total_magnetization_mub_per_fu": 0.00, "e_form_raw_mev_per_atom": -443, "sg": "C2/m", "cell": [[7.546, -4.701, 0.000], [7.546, 4.701, 0.000], [-0.056, 0.000, 6.319]], "species": ["Pr", "Pr", "Pr", "Pr", "Pr", "Pr", "Pr", "Pr", "Tl", "Tl", "Tl", "Te", "Te"], "frac_coords": [[0.075, 0.677, 0.381], [0.095, 0.095, 0.132], [0.323, 0.925, 0.619], [0.329, 0.329, 0.899], [0.671, 0.671, 0.101], [0.677, 0.075, 0.381], [0.905, 0.905, 0.868], [0.925, 0.323, 0.619], [0.303, 0.697, 0.000], [0.500, 0.500, 0.500], [0.697, 0.303, 0.000], [0.275, 0.275, 0.405], [0.725, 0.725, 0.595]]}

---

Record 12
{"formula": "Li4Bi2Cl9", "functional": "PBE", "state": "relaxed", "total_magnetization_mub_per_fu": 1.04, "e_form_raw_mev_per_atom": -1305, "sg": "P-3", "cell": [[6.838, 0.000, 0.000], [-3.419, 5.922, 0.000], [0.000, 0.000, 17.467]], "species": ["Li", "Li", "Li", "Li", "Li", "Li", "Li", "Li", "Bi", "Bi", "Bi", "Bi", "Cl", "Cl", "Cl", "Cl", "Cl", "Cl", "Cl", "Cl", "Cl", "Cl", "Cl", "Cl", "Cl", "Cl", "Cl", "Cl", "Cl", "Cl"], "frac_coords": [[0.333, 0.667, 0.177], [0.333, 0.667, 0.483], [0.333, 0.667, 0.677], [0.333, 0.667, 0.983], [0.667, 0.333, 0.017], [0.667, 0.333, 0.323], [0.667, 0.333, 0.517], [0.667, 0.333, 0.823], [0.000, 0.000, 0.154], [0.000, 0.000, 0.346], [0.000, 0.000, 0.654], [0.000, 0.000, 0.846], [0.000, 0.353, 0.250], [0.000, 0.647, 0.750], [0.022, 0.651, 0.084], [0.023, 0.372, 0.584], [0.348, 0.977, 0.584], [0.349, 0.372, 0.084], [0.353, 0.000, 0.250], [0.353, 0.353, 0.750], [0.372, 0.022, 0.916], [0.372, 0.348, 0.416], [0.628, 0.652, 0.584], [0.628, 0.978, 0.084], [0.647, 0.000, 0.750], [0.647, 0.647, 0.250], [0.651, 0.628, 0.916], [0.652, 0.023, 0.416], [0.977, 0.628, 0.416], [0.978, 0.349, 0.916]]}